i.
VASP calculation (PBEsol) on a geometry-optimized Tl2CdIn structure.

a = 3.6166 Å, b = 5.2751 Å, c = 10.8969 Å
α = 90.00°, β = 90.00°, γ = 90.00°
Closest atoms and distances in Å follow each position.
Space group Cmmm (No. 65)
Asymmetric unit:
Tl1 0.0000 0.0000 0.2423 x4  4 Tl 3.20, 2 Cd 3.20, 2 In 3.34
Cd1 0.0000 0.5000 0.0000 x2  4 Cd 3.20, 4 Tl 3.20
In1 0.0000 0.5000 0.5000 x2  4 In 3.20, 4 Tl 3.34

Values from the calculation:
Total magnetization   0.000 μB per atom

=====

ii.
VASP calculation (PBEsol) on a geometry-optimized Tl2CdIn structure.

a = 4.5884 Å, b = 4.5884 Å, c = 9.7546 Å
α = 90.00°, β = 90.00°, γ = 90.00°
Closest atoms and distances in Å follow each position.
Space group I-4m2 (No. 119)
Asymmetric unit:
Tl1 0.0000 0.0000 0.0000 x2  4 Cd 3.24, 4 Tl 3.35, 4 In 3.35
Tl2 0.0000 0.5000 0.2500 x2  4 In 3.24, 4 Cd 3.35, 4 Tl 3.35
Cd1 0.0000 0.0000 0.5000 x2  8 Tl 3.24-3.35, 4 In 3.35
In1 0.0000 0.5000 0.7500 x2  8 Tl 3.24-3.35, 4 Cd 3.35

Values from the calculation:
Total magnetization   0.000 μB per atom

=====

iii.
VASP calculation (PBEsol) on a geometry-optimized Tl2CdIn structure.

a = 3.4825 Å, b = 5.4244 Å, c = 10.9798 Å
α = 90.00°, β = 90.00°, γ = 90.00°
Closest atoms and distances in Å follow each position.
Space group Imm2 (No. 44)
Asymmetric unit:
Tl1 0.0000 0.0000 0.0000 x2  4 Cd 3.23, 2 In 3.32, 4 Tl 3.41-3.48
Tl2 0.0000 0.5000 0.2331 x2  2 Cd 3.19, 4 In 3.23, 4 Tl 3.41-3.48
Cd1 0.0000 0.0000 0.4891 x2  2 In 3.08, 6 Tl 3.19-3.23
In1 0.0000 0.5000 0.7578 x2  2 Cd 3.08, 6 Tl 3.23-3.32

Values from the calculation:
Total magnetization   0.000 μB per atom

=====

iii ends up most stable, edging out the next structure by 7 meV per atom.

=====

i.
VASP calculation (PBEsol) on a geometry-optimized ZnCd2In structure.

a = 4.3469 Å, b = 4.3469 Å, c = 8.5669 Å
α = 90.00°, β = 90.00°, γ = 90.00°
Closest atoms and distances in Å follow each position.
Space group I-4m2 (No. 119)
Asymmetric unit:
Zn1 0.0000 0.0000 0.0000 x2  8 Cd 3.05-3.07, 4 In 3.05
Cd1 0.0000 0.0000 0.5000 x2  4 Cd 3.05, 4 In 3.05, 4 Zn 3.07
Cd2 0.0000 0.5000 0.2500 x2  4 Cd 3.05, 4 Zn 3.05, 4 In 3.07
In1 0.0000 0.5000 0.7500 x2  8 Cd 3.05-3.07, 4 Zn 3.05

Values from the calculation:
Total magnetization   0.000 μB per atom

=====

ii.
VASP calculation (PBEsol) on a geometry-optimized ZnCd2In structure.

a = 9.1271 Å, b = 3.3297 Å, c = 5.5110 Å
α = 90.00°, β = 101.26°, γ = 90.00°
Closest atoms and distances in Å follow each position.
Space group Cm (No. 8)
Asymmetric unit:
Zn1 0.0000 0.0000 0.0000 x2  5 Cd 2.84-3.10, 3 In 2.91-2.93
Cd1 0.0047 0.5000 0.5274 x2  3 Cd 2.87-2.96, 3 In 2.92-3.03, 2 Zn 3.10
Cd2 0.2574 0.0000 0.7803 x2  3 Zn 2.84-2.85, 3 Cd 2.87-2.96, 2 In 3.10
In1 0.2475 0.5000 0.2519 x2  3 Zn 2.91-2.93, 5 Cd 2.92-3.10

Values from the calculation:
Total magnetization   0.000 μB per atom

=====

ii ends up most stable, edging out the next structure by 6 meV per atom.